Material: SiTc2Rh
Method: DFT, SCAN
State: PBEsol geometry

Crystal system: orthorhombic
Total magnetic moment: 0.00 μB per formula unit
Fermi-level density of states: 1.0147 states/eV/atom
Formation energy without anion corrections: -0.162 eV/atom

The structure in POSCAR format:
```
SiTc2Rh
1.0
2.795 0.000 0.000
0.000 3.907 0.000
0.000 0.000 4.948
Tc Si Rh
2 1 1
Cartesian
0.000 0.000 1.308
0.000 0.000 3.640
1.397 1.954 2.474
1.397 1.954 0.000
```